# 1
Density functional theory data (GGA-PBE) for crystalline Li12Te3Pb5 at its relaxed geometry.

## Properties
**Formation energy (no corrections)**: -0.1800 eV/atom

a b c (Å): 13.964 13.964 13.964
angles (deg): 109.47 109.47 109.47
Site moments in Bohr magnetons follow the coordinates.
Fractional positions:
Te  0.750  0.375  0.125  0.01
Te  0.875  0.750  0.125  0.01
Te  0.375  0.750  0.625  0.01
Te  0.250  0.125  0.375  0.01
Te  0.875  0.125  0.250  0.01
Te  0.375  0.625  0.250  0.01
Te  0.625  0.375  0.750  0.01
Te  0.125  0.875  0.750  0.01
Te  0.750  0.875  0.625  0.01
Te  0.625  0.250  0.375  0.01
Te  0.125  0.250  0.875  0.01
Te  0.250  0.625  0.875  0.01
Pb  0.125  0.375  0.250  0.10
Pb  0.000  0.500  0.000  -0.02
Pb  0.000  0.000  0.000  -0.02
Pb  0.375  0.250  0.125  0.10
Pb  0.500  0.000  0.500  -0.02
Pb  0.500  0.500  0.000  -0.02
Pb  0.125  0.750  0.375  0.10
Pb  0.750  0.125  0.875  0.10
Pb  0.750  0.625  0.375  0.10
Pb  0.375  0.125  0.750  0.10
Pb  0.625  0.875  0.250  0.10
Pb  0.500  0.500  0.500  -0.02
Pb  0.500  0.000  0.000  -0.02
Pb  0.000  0.000  0.500  -0.02
Pb  0.250  0.375  0.625  0.10
Pb  0.250  0.875  0.125  0.10
Pb  0.000  0.500  0.500  -0.02
Pb  0.875  0.250  0.625  0.10
Pb  0.625  0.750  0.875  0.10
Pb  0.875  0.625  0.750  0.10
Li  0.734  0.142  0.078  0.01
Li  0.344  0.578  0.436  0.01
Li  0.922  0.358  0.266  0.01
Li  0.578  0.234  0.142  0.01
Li  0.592  0.734  0.656  0.01
Li  0.922  0.564  0.156  0.01
Li  0.344  0.766  0.408  0.01
Li  0.064  0.908  0.142  0.01
Li  0.564  0.922  0.656  0.01
Li  0.734  0.592  0.156  0.01
Li  0.766  0.422  0.358  0.01
Li  0.844  0.936  0.078  0.01
Li  0.142  0.734  0.578  0.01
Li  0.358  0.436  0.092  0.01
Li  0.092  0.936  0.358  0.01
Li  0.408  0.142  0.564  0.01
Li  0.092  0.156  0.234  0.01
Li  0.422  0.656  0.064  0.01
Li  0.844  0.908  0.266  0.01
Li  0.142  0.408  0.064  0.01
Li  0.358  0.922  0.766  0.01
Li  0.564  0.642  0.408  0.01
Li  0.936  0.844  0.578  0.01
Li  0.766  0.344  0.908  0.01
Li  0.436  0.358  0.592  0.01
Li  0.064  0.156  0.422  0.01
Li  0.234  0.656  0.092  0.01
Li  0.156  0.092  0.734  0.01
Li  0.642  0.078  0.234  0.01
Li  0.858  0.592  0.936  0.01
Li  0.578  0.344  0.936  0.01
Li  0.592  0.858  0.436  0.01
Li  0.908  0.844  0.766  0.01
Li  0.908  0.064  0.642  0.01
Li  0.858  0.266  0.422  0.01
Li  0.156  0.064  0.922  0.01
Li  0.642  0.564  0.908  0.01
Li  0.436  0.078  0.344  0.01
Li  0.266  0.408  0.844  0.01
Li  0.234  0.578  0.642  0.01
Li  0.936  0.092  0.858  0.01
Li  0.656  0.234  0.592  0.01
Li  0.422  0.766  0.858  0.01
Li  0.078  0.436  0.844  0.01
Li  0.408  0.266  0.344  0.01
Li  0.078  0.642  0.734  0.01
Li  0.656  0.422  0.564  0.01
Li  0.266  0.858  0.922  0.01

# 2
Density functional theory data (GGA-PBE) for crystalline Mg4ZnIn7 at its relaxed geometry.

## Properties
**ΔE_f**: -0.41 kcal/mol of atoms

a b c (Å): 3.412 3.412 28.601
angles (deg): 90.00 90.00 120.00
Fractional positions:
Mg  0.333  0.667  0.915
Mg  0.667  0.333  0.085
Mg  0.333  0.667  0.657
Mg  0.667  0.333  0.343
Zn  0.000  0.000  0.500
In  0.000  0.000  0.000
In  0.333  0.667  0.427
In  0.667  0.333  0.573
In  0.333  0.667  0.170
In  0.667  0.333  0.830
In  0.000  0.000  0.742
In  0.000  0.000  0.258

# 3
Density functional theory data (GGA-PBE) for crystalline Pr8TmTl6 at its relaxed geometry.

## Properties
**ΔE_f**: -3.89 kcal/mol of atoms

a b c (Å): 9.366 9.366 8.602
angles (deg): 57.02 57.02 60.00
Fractional positions:
Pr  0.550  0.225  0.337
Pr  0.775  0.112  0.663
Pr  0.112  0.450  0.663
Pr  0.665  0.665  0.005
Pr  0.335  0.335  0.995
Pr  0.888  0.550  0.337
Pr  0.225  0.888  0.337
Pr  0.450  0.775  0.663
Tm  0.000  0.000  0.000
Tl  0.380  0.056  0.829
Tl  0.944  0.265  0.171
Tl  0.265  0.620  0.171
Tl  0.735  0.380  0.829
Tl  0.056  0.735  0.829
Tl  0.620  0.944  0.171

# 4
Density functional theory data (GGA-PBE) for crystalline TmThCu2Si2 at its relaxed geometry.

## Properties
**Formation energy (no corrections)**: -0.6601 eV/atom

a b c (Å): 4.131 4.131 7.756
angles (deg): 90.00 90.00 120.00
Fractional positions:
Tm  0.000  0.000  0.000
Th  0.000  0.000  0.500
Cu  0.333  0.667  0.762
Cu  0.667  0.333  0.238
Si  0.333  0.667  0.239
Si  0.667  0.333  0.761

# 5
Density functional theory data (GGA-PBE) for crystalline Ba4Mg2Tl at its relaxed geometry.

## Properties
**ΔE_f**: -2.33 kcal/mol of atoms

a b c (Å): 6.140 6.140 10.611
angles (deg): 73.18 73.18 60.00
Fractional positions:
Ba  0.877  0.877  0.370
Ba  0.123  0.123  0.630
Ba  0.625  0.625  0.124
Ba  0.375  0.375  0.876
Mg  0.748  0.748  0.756
Mg  0.252  0.252  0.244
Tl  0.000  0.000  0.000

no.,calculated density (g/cm³)
1,4.76
2,5.57
3,8.24
4,8.46
5,4.08